NaLa2CdRu | PBE | optimized geometry

Cell lengths 5.3040, 5.3040, 5.6649 Å; angles 90.00, 90.00, 90.00 degrees
Space group P4/mmm (No. 123)
Symmetry-distinct sites (fractional):
Na1 0.0000 0.0000 0.0000 (multiplicity 1)
La1 0.0000 0.5000 0.5000 (multiplicity 2)
Cd1 0.5000 0.5000 0.0000 (multiplicity 1)
Ru1 0.0000 0.0000 0.5000 (multiplicity 1)

## Properties
ΔH_f (0 K) in kcal/mol of atoms: -0.89
E in eV per atom: -4.31
Energy above the lowest structure with this stoichiometry in meV/atom: 102.2